1.
# LiSO3 PBE relaxed
# Symmetry   Pm-3m, No. 221
# E_form (uncorrected)   3.5 eV per formula unit
# DOS at the Fermi energy   3.45 states/eV per cell
# Total magnetic moment   1.5 μB/f.u.
data_LiSO3
_cell_length_a 3.5408
_cell_length_b 3.5408
_cell_length_c 3.5408
_cell_angle_alpha 90.00
_cell_angle_beta 90.00
_cell_angle_gamma 90.00
_space_group_name_H-M_alt 'P 1'
_space_group_IT_number 1
_space_group_name_Hall 'P 1'
loop_
_atom_site_label
_atom_site_type_symbol
_atom_site_fract_x
_atom_site_fract_y
_atom_site_fract_z
S1 S 0.5000 0.5000 0.5000
O1 O 0.0000 0.5000 0.0000
O2 O 0.0000 0.0000 0.5000
O3 O 0.5000 0.0000 0.0000
Li1 Li 0.0000 0.0000 0.0000



2.
# EuRu6 PBE relaxed
# Symmetry   Im-3m, No. 229
# Energy relative to the elements   0.69 eV per atom
# DOS at the Fermi energy   25.75 states/eV per cell
# Total magnetic moment   7.0 μB/f.u.
data_EuRu6
_cell_length_a 5.8346
_cell_length_b 5.8346
_cell_length_c 5.8346
_cell_angle_alpha 109.47
_cell_angle_beta 109.47
_cell_angle_gamma 109.47
_space_group_name_H-M_alt 'P 1'
_space_group_IT_number 1
_space_group_name_Hall 'P 1'
loop_
_atom_site_label
_atom_site_type_symbol
_atom_site_fract_x
_atom_site_fract_y
_atom_site_fract_z
Eu1 Eu 0.0000 0.0000 0.0000
Ru1 Ru 0.2500 0.7500 0.5000
Ru2 Ru 0.5000 0.7500 0.2500
Ru3 Ru 0.2500 0.5000 0.7500
Ru4 Ru 0.7500 0.2500 0.5000
Ru5 Ru 0.5000 0.2500 0.7500
Ru6 Ru 0.7500 0.5000 0.2500



3.
# CsZnGePSe PBE relaxed
# Symmetry   Cm, No. 8
# E_form (uncorrected)   -2.3 eV per formula unit
# Total magnetic moment   0.0 μB/f.u.
data_CsZnGePSe
_cell_length_a 7.9056
_cell_length_b 3.8549
_cell_length_c 9.8752
_cell_angle_alpha 90.00
_cell_angle_beta 90.43
_cell_angle_gamma 90.00
_space_group_name_H-M_alt 'P 1'
_space_group_IT_number 1
_space_group_name_Hall 'P 1'
loop_
_atom_site_label
_atom_site_type_symbol
_atom_site_fract_x
_atom_site_fract_y
_atom_site_fract_z
Cs1 Cs 0.7263 0.0000 0.2058
Cs2 Cs 0.7263 0.5000 0.7058
Zn1 Zn 0.2547 0.0000 0.3268
Zn2 Zn 0.2547 0.5000 0.8268
Ge1 Ge 0.1853 0.0000 0.0813
Ge2 Ge 0.1853 0.5000 0.5813
P1 P 0.0311 0.0000 0.4927
P2 P 0.0311 0.5000 0.9927
Se1 Se 0.4347 0.0000 0.9148
Se2 Se 0.4347 0.5000 0.4148



4.
# K2AlIn PBE relaxed
# Symmetry   C2/m, No. 12
# Energy relative to the elements   0.33 eV per atom
# DOS at the Fermi energy   2.75 states/eV per cell
# Total magnetic moment   0.0 μB/f.u.
data_K2AlIn
_cell_length_a 6.2526
_cell_length_b 6.2526
_cell_length_c 6.8623
_cell_angle_alpha 84.02
_cell_angle_beta 84.02
_cell_angle_gamma 31.40
_space_group_name_H-M_alt 'P 1'
_space_group_IT_number 1
_space_group_name_Hall 'P 1'
loop_
_atom_site_label
_atom_site_type_symbol
_atom_site_fract_x
_atom_site_fract_y
_atom_site_fract_z
K1 K 0.0021 0.0021 0.9954
K2 K 0.4979 0.4979 0.5046
Al1 Al 0.7500 0.7500 0.7500
In1 In 0.2500 0.2500 0.2500



5.
# Li3Sm2Ni2 PBE relaxed
# Symmetry   Cmmm, No. 65
# Energy relative to the elements   -0.17 eV per atom
# DOS at the Fermi energy   4.20 states/eV per cell
# Total magnetic moment   0.0 μB/f.u.
data_Li3Sm2Ni2
_cell_length_a 3.7366
_cell_length_b 3.9372
_cell_length_c 10.5675
_cell_angle_alpha 100.74
_cell_angle_beta 90.00
_cell_angle_gamma 90.00
_space_group_name_H-M_alt 'P 1'
_space_group_IT_number 1
_space_group_name_Hall 'P 1'
loop_
_atom_site_label
_atom_site_type_symbol
_atom_site_fract_x
_atom_site_fract_y
_atom_site_fract_z
Li1 Li 0.5000 0.5725 0.1450
Li2 Li 0.5000 0.4275 0.8550
Li3 Li 0.0000 0.0000 0.0000
Sm1 Sm 0.0000 0.8273 0.6547
Sm2 Sm 0.0000 0.1727 0.3453
Ni1 Ni 0.5000 0.7154 0.4307
Ni2 Ni 0.5000 0.2846 0.5693



6.
# NbSiTe3 PBE relaxed
# Symmetry   Pm-3m, No. 221
# E_form (uncorrected)   4.0 eV per formula unit
# DOS at the Fermi energy   2.79 states/eV per cell
# Total magnetic moment   2.2 μB/f.u.
data_NbSiTe3
_cell_length_a 5.1671
_cell_length_b 5.1671
_cell_length_c 5.1671
_cell_angle_alpha 90.00
_cell_angle_beta 90.00
_cell_angle_gamma 90.00
_space_group_name_H-M_alt 'P 1'
_space_group_IT_number 1
_space_group_name_Hall 'P 1'
loop_
_atom_site_label
_atom_site_type_symbol
_atom_site_fract_x
_atom_site_fract_y
_atom_site_fract_z
Nb1 Nb 0.5000 0.5000 0.5000
Te1 Te 0.0000 0.5000 0.0000
Te2 Te 0.0000 0.0000 0.5000
Te3 Te 0.5000 0.0000 0.0000
Si1 Si 0.0000 0.0000 0.0000



7.
# Tm2BiPd PBE relaxed
# Symmetry   R-3m, No. 166
# Energy relative to the elements   -0.67 eV per atom
# DOS at the Fermi energy   2.14 states/eV per cell
# Total magnetic moment   0.0 μB/f.u.
data_Tm2BiPd
_cell_length_a 4.3129
_cell_length_b 4.3129
_cell_length_c 7.1787
_cell_angle_alpha 72.52
_cell_angle_beta 72.52
_cell_angle_gamma 60.00
_space_group_name_H-M_alt 'P 1'
_space_group_IT_number 1
_space_group_name_Hall 'P 1'
loop_
_atom_site_label
_atom_site_type_symbol
_atom_site_fract_x
_atom_site_fract_y
_atom_site_fract_z
Tm1 Tm 0.7389 0.7389 0.7833
Tm2 Tm 0.2611 0.2611 0.2167
Bi1 Bi 0.5000 0.5000 0.5000
Pd1 Pd 0.0000 0.0000 0.0000



8.
# Y2MnCl PBE relaxed
# Symmetry   Immm, No. 71
# E_form (uncorrected)   -0.8 eV per formula unit
# DOS at the Fermi energy   4.13 states/eV per cell
# Total magnetic moment   3.1 μB/f.u.
data_Y2MnCl
_cell_length_a 5.7148
_cell_length_b 5.7148
_cell_length_c 5.7148
_cell_angle_alpha 141.74
_cell_angle_beta 115.05
_cell_angle_gamma 77.96
_space_group_name_H-M_alt 'P 1'
_space_group_IT_number 1
_space_group_name_Hall 'P 1'
loop_
_atom_site_label
_atom_site_type_symbol
_atom_site_fract_x
_atom_site_fract_y
_atom_site_fract_z
Cl1 Cl 0.2500 0.7500 0.5000
Mn1 Mn 0.7500 0.2500 0.5000
Y1 Y 0.0166 0.0166 0.0000
Y2 Y 0.4834 0.4834 0.0000